# PBE Ta4NbSn2, relaxed
data_Ta4NbSn2
_chemical_formula_sum 'Ta12 Nb3 Sn6'
_space_group_name_H-M_alt 'R -3 m'
_space_group_IT_number 166
_space_group_name_Hall '-R 3 2"'
_cell_length_a 4.7893
_cell_length_b 4.7893
_cell_length_c 20.2064
_cell_angle_alpha 90.00
_cell_angle_beta 90.00
_cell_angle_gamma 120.00
loop_
_atom_site_label
_atom_site_fract_x
_atom_site_fract_y
_atom_site_fract_z
Ta1 0.0000 0.0000 0.0693
Ta2 0.0000 0.0000 0.3646
Nb1 0.0000 0.0000 0.5000
Sn1 0.0000 0.0000 0.2210
# E_tot   -0.688 Ry per atom
# Formation enthalpy at 0 K   0 kJ/mol of atoms

=====

# PBE Mg2Zn5Ag5, relaxed
data_Mg2Zn5Ag5
_chemical_formula_sum 'Mg4 Zn10 Ag10'
_space_group_name_H-M_alt 'C 1 2/m 1'
_space_group_IT_number 12
_cell_length_a 13.2372
_cell_length_b 3.4460
_cell_length_c 10.0308
_cell_angle_alpha 90.00
_cell_angle_beta 118.91
_cell_angle_gamma 90.00
loop_
_space_group_symop_operation_xyz
'x,y,z'
'-x,-y,-z'
'-x,y,-z'
'x,-y,z'
'x+1/2,y+1/2,z'
'-x+1/2,-y+1/2,-z'
'-x+1/2,y+1/2,-z'
'x+1/2,-y+1/2,z'
loop_
_atom_site_label
_atom_site_fract_x
_atom_site_fract_y
_atom_site_fract_z
Mg1 0.0860 0.0000 0.2575
Zn1 0.0000 0.0000 0.5000
Zn2 0.1682 0.0000 0.0019
Zn3 0.2476 0.5000 0.2348
Ag1 0.0000 0.5000 0.0000
Ag2 0.0881 0.5000 0.7537
Ag3 0.1672 0.5000 0.5156
# E_tot   -0.153 Ry per atom
# Formation enthalpy at 0 K   -9 kJ/mol of atoms

=====

# PBE TeRuSe2, relaxed
data_TeRuSe2
_chemical_formula_sum 'Te2 Ru2 Se4'
_space_group_name_H-M_alt 'I -4 m 2'
_space_group_IT_number 119
_space_group_name_Hall 'I -4 -2'
_cell_length_a 5.1426
_cell_length_b 5.1426
_cell_length_c 5.8696
_cell_angle_alpha 90.00
_cell_angle_beta 90.00
_cell_angle_gamma 90.00
loop_
_atom_site_label
_atom_site_fract_x
_atom_site_fract_y
_atom_site_fract_z
Te1 0.0000 0.0000 0.0000
Ru1 0.0000 0.5000 0.7500
Se1 0.0000 0.0000 0.5000
Se2 0.0000 0.5000 0.2500
# E_form (uncorrected)   560 meV per atom
# E_tot   -0.315 Ry per atom

=====

# PBE NaYZr, relaxed
data_NaYZr
_chemical_formula_sum 'Na2 Y2 Zr2'
_space_group_name_H-M_alt 'P 4/n m m'
_space_group_IT_number 129
_cell_length_a 3.3739
_cell_length_b 3.3739
_cell_length_c 15.7049
_cell_angle_alpha 90.00
_cell_angle_beta 90.00
_cell_angle_gamma 90.00
loop_
_space_group_symop_operation_xyz
'x,y,z'
'-x,-y,-z'
'-y+1/2,x,z'
'y+1/2,-x,-z'
'-x+1/2,-y+1/2,z'
'x+1/2,y+1/2,-z'
'y,-x+1/2,z'
'-y,x+1/2,-z'
'x+1/2,-y,-z'
'-x+1/2,y,z'
'-y,-x,-z'
'y,x,z'
'-x,y+1/2,-z'
'x,-y+1/2,z'
'y+1/2,x+1/2,-z'
'-y+1/2,-x+1/2,z'
loop_
_atom_site_label
_atom_site_fract_x
_atom_site_fract_y
_atom_site_fract_z
Na1 0.2500 0.2500 0.0976
Y1 0.2500 0.2500 0.7141
Zr1 0.2500 0.2500 0.4312
# E_tot   -0.393 Ry per atom
# Formation enthalpy at 0 K   9 kJ/mol of atoms

=====

# PBE PdSeSBr2, relaxed
data_PdSeSBr2
_chemical_formula_sum 'Pd1 Se1 S1 Br2'
_space_group_name_H-M_alt 'P 4/m m m'
_space_group_IT_number 123
_space_group_name_Hall '-P 4 2'
_cell_length_a 4.9814
_cell_length_b 4.9814
_cell_length_c 5.0504
_cell_angle_alpha 90.00
_cell_angle_beta 90.00
_cell_angle_gamma 90.00
loop_
_atom_site_label
_atom_site_fract_x
_atom_site_fract_y
_atom_site_fract_z
Pd1 0.0000 0.0000 0.0000
Se1 0.5000 0.5000 0.0000
S1 0.5000 0.5000 0.5000
Br1 0.0000 0.5000 0.5000
# E_form (uncorrected)   691 meV per atom
# E_tot   -0.187 Ry per atom

=====

# PBE NbSn3C, relaxed
data_NbSn3C
_chemical_formula_sum 'Nb1 Sn3 C1'
_space_group_name_H-M_alt 'P m -3 m'
_space_group_IT_number 221
_space_group_name_Hall '-P 4 2 3'
_cell_length_a 5.3815
_cell_length_b 5.3815
_cell_length_c 5.3815
_cell_angle_alpha 90.00
_cell_angle_beta 90.00
_cell_angle_gamma 90.00
loop_
_atom_site_label
_atom_site_fract_x
_atom_site_fract_y
_atom_site_fract_z
Nb1 0.0000 0.0000 0.0000
Sn1 0.0000 0.0000 0.5000
C1 0.5000 0.5000 0.5000
# E_tot   -0.340 Ry per atom
# Formation enthalpy at 0 K   157 kJ/mol of atoms